Entry 1:
Computed, not measured: a relaxed structure of PaB2AsO8 at the PBE level of DFT.

The space group is C2/m (No. 12) and the conventional cell measures 8.911, 5.038 and 5.370 Å, with angles of 90.00, 108.26 and 90.00 degrees. Symmetry generates all atoms from Pa at (0.000, 0.000, 0.000), B at (0.201, 0.000, 0.635), As at (0.000, 0.500, 0.500), O at (0.120, 0.500, 0.261), O at (0.128, 0.235, 0.733) and O at (0.153, 0.000, 0.359).

The formation energy without anion corrections is -2.17 eV per atom.

Entry 2:
Computed, not measured: a relaxed structure of In2BiOsPt at the PBE level of DFT.

The space group is P4/mmm (No. 123) and the conventional cell measures 5.142, 5.142 and 4.943 Å, with angles of 90.00, 90.00 and 90.00 degrees. Symmetry generates all atoms from In at (0.000, 0.500, 0.000), Bi at (0.000, 0.000, 0.500), Os at (0.500, 0.500, 0.000) and Pt at (0.500, 0.500, 0.500).

The calculation puts the formation energy at 0.612 eV/atom. The value obtained for the density of states at the Fermi level is 4.95 states/eV/f.u.

Entry 3:
Computed, not measured: a relaxed structure of ZrHg3W at the PBE level of DFT.

The space group is Pm-3m (No. 221) and the conventional cell measures 5.149, 5.149 and 5.149 Å, with angles of 90.00, 90.00 and 90.00 degrees. Symmetry generates all atoms from Zr at (0.000, 0.000, 0.000), Hg at (0.000, 0.500, 0.500) and W at (0.500, 0.500, 0.500).

For the energy above the most stable polymorph in this dataset, the calculation gives 0 meV/atom. The calculation puts the formation energy at 1.267 eV/atom. The value obtained for the density of states at the Fermi level is 2.02 states/eV/f.u.

Entry 4:
Computed, not measured: a relaxed structure of ZrScHg2 at the PBE level of DFT.

The space group is Cmmm (No. 65) and the conventional cell measures 6.563, 8.236 and 3.210 Å, with angles of 90.00, 90.00 and 90.00 degrees. Symmetry generates all atoms from Zr at (0.000, 0.000, 0.000), Sc at (0.000, 0.500, 0.000) and Hg at (0.250, 0.250, 0.500).

For the energy above the most stable polymorph in this dataset, the calculation gives 21 meV/atom. The calculation puts the formation energy at -0.261 eV/atom. The value obtained for the density of states at the Fermi level is 4.11 states/eV/f.u.

Entry 5:
Computed, not measured: a relaxed structure of NiMoAs2 at the PBE level of DFT.

The space group is Fm-3m (No. 225) and the conventional cell measures 6.203, 6.203 and 6.203 Å, with angles of 90.00, 90.00 and 90.00 degrees. Symmetry generates all atoms from Ni at (0.000, 0.000, 0.000), Mo at (0.000, 0.000, 0.500) and As at (0.250, 0.250, 0.250).

The calculation puts the formation energy at 0.140 eV/atom. The value obtained for the density of states at the Fermi level is 3.99 states/eV/f.u.

Entry 6:
Computed, not measured: a relaxed structure of AcMgTcGe2 at the PBE level of DFT.

The space group is I-4m2 (No. 119) and the conventional cell measures 4.286, 4.286 and 11.739 Å, with angles of 90.00, 90.00 and 90.00 degrees. Symmetry generates all atoms from Ac at (0.000, 0.000, 0.000), Mg at (0.000, 0.500, 0.750), Tc at (0.000, 0.500, 0.250) and Ge at (0.000, 0.000, 0.377).

The calculation puts the formation energy at -0.339 eV/atom. The value obtained for the density of states at the Fermi level is 5.89 states/eV/f.u.